{"formula": "KReBr3", "functional": "PBE", "state": "optimized geometry", "lattice": [[5.068, 0.000, 0.000], [0.003, 5.291, 0.000], [2.390, 1.187, 13.157]], "species": ["K", "K", "Re", "Re", "Br", "Br", "Br", "Br", "Br", "Br"], "fractional_positions": [[0.000, 0.000, 0.000], [0.393, 0.448, 0.239], [0.448, 0.224, 0.619], [0.948, 0.224, 0.619], [0.132, 0.422, 0.758], [0.264, 0.025, 0.481], [0.507, 0.501, 0.996], [0.643, 0.906, 0.737], [0.753, 0.542, 0.502], [0.887, 0.946, 0.243]], "polymorph_energy_ev_per_atom": 0.000, "sg": "P1", "e_form_raw_mev_per_atom": -398, "vol_a3_per_atom": 35.28}

***

{"formula": "Pm6Y2HoTm", "functional": "PBE", "state": "optimized geometry", "lattice": [[4.638, -7.635, 0.000], [4.638, 7.635, 0.000], [-1.099, 0.000, 9.485]], "species": ["Pm", "Pm", "Pm", "Pm", "Pm", "Pm", "Pm", "Pm", "Pm", "Pm", "Pm", "Pm", "Y", "Y", "Y", "Y", "Ho", "Ho", "Tm", "Tm"], "fractional_positions": [[0.009, 0.564, 0.189], [0.119, 0.763, 0.556], [0.237, 0.881, 0.944], [0.291, 0.514, 0.383], [0.436, 0.991, 0.311], [0.486, 0.709, 0.117], [0.514, 0.291, 0.883], [0.564, 0.009, 0.689], [0.709, 0.486, 0.617], [0.763, 0.119, 0.056], [0.881, 0.237, 0.444], [0.991, 0.436, 0.811], [0.202, 0.300, 0.047], [0.300, 0.202, 0.547], [0.700, 0.798, 0.453], [0.798, 0.700, 0.953], [0.029, 0.971, 0.250], [0.971, 0.029, 0.750], [0.411, 0.589, 0.750], [0.589, 0.411, 0.250]], "ef_ev_per_atom": 0.12, "sg": "C2/c", "vol_a3_per_atom": 33.59}

***

{"formula": "LiHfIN2", "functional": "PBE", "state": "optimized geometry", "lattice": [[4.075, 0.000, 0.000], [0.000, 4.075, 0.000], [0.000, 0.000, 4.519]], "species": ["Li", "Hf", "I", "N", "N"], "fractional_positions": [[0.000, 0.000, 0.000], [0.500, 0.500, 0.500], [0.000, 0.000, 0.500], [0.000, 0.500, 0.000], [0.500, 0.000, 0.000]], "polymorph_energy_ev_per_atom": 1.465, "sg": "P4/mmm", "e_form_raw_mev_per_atom": 1326, "vol_a3_per_atom": 15.01}

***

no.,total energy (eV per atom)
1,-4.111
2,-4.929
3,-4.688